1.
Tl2ZnSnF6 | GGA-PBE | relaxed

Cell lengths 6.3484, 6.3418, 6.2363 Å; angles 59.37, 59.42, 59.91 degrees
Closest atoms and distances in Å follow each position.
Fractional positions:
F 0.0936 0.5056 0.8094  1 Zn 2.08
F 0.5072 0.5899 0.8110  1 Zn 2.08
F 0.5917 0.0884 0.8148  1 Zn 2.08
F 0.0406 0.5442 0.2881  1 Zn 2.08
F 0.5384 0.1270 0.2938  1 Zn 2.08
F 0.1251 0.0425 0.2920  1 Zn 2.08
Sn 0.8162 0.8161 0.5515  6 F 2.40
Zn 0.3162 0.3161 0.0515  6 F 2.08
Tl 0.5617 0.5628 0.3139  9 F 2.91-3.25
Tl 0.0708 0.0691 0.7891  9 F 2.91-3.25

Results
The calculation puts the raw total energy at -4.202 eV per atom. The energy relative to the elements, uncorrected is -2.078 eV/atom. Its space-group type is P-1.

2.
Tl3Zn2SnF9 | GGA-PBE | relaxed

Cell lengths 6.1209, 6.1209, 7.7434 Å; angles 90.00, 90.00, 120.00 degrees
Closest atoms and distances in Å follow each position.
Fractional positions:
F 0.3500 0.1750 0.6934  1 Zn 2.05
F 0.6500 0.8250 0.3066  1 Zn 2.05
F 0.8250 0.1750 0.6934  1 Zn 2.05
F 0.0000 0.5000 0.0000  2 Zn 2.14
F 0.5000 0.5000 0.0000  2 Zn 2.14
F 0.1750 0.3500 0.3066  1 Zn 2.05
F 0.5000 0.0000 0.0000  2 Zn 2.14
F 0.8250 0.6500 0.6934  1 Zn 2.05
F 0.1750 0.8250 0.3066  1 Zn 2.05
Tl 0.3333 0.6667 0.6958  9 F 2.94-3.06
Tl 0.0000 0.0000 0.0000  12 F 3.01-3.06
Tl 0.6667 0.3333 0.3042  9 F 2.94-3.06
Zn 0.3333 0.6667 0.1551  6 F 2.05-2.14
Zn 0.6667 0.3333 0.8449  6 F 2.05-2.14
Sn 0.0000 0.0000 0.5000  6 F 2.38

Results
The calculation puts the raw total energy at -4.120 eV per atom. The energy relative to the elements, uncorrected is -2.088 eV/atom. Its space-group type is P-3m1.

3.
TmSnF | GGA-PBE | relaxed

Cell lengths 3.7850, 5.8218, 18.2078 Å; angles 151.71, 90.00, 108.97 degrees
Closest atoms and distances in Å follow each position.
Fractional positions:
Sn 0.3620 0.7240 0.6218  2 Sn 3.00, 3 Tm 3.08-3.32
Sn 0.6380 0.2760 0.3782  2 Sn 3.00, 3 Tm 3.08-3.32
F 0.5738 0.1476 0.9270  3 Tm 2.21-2.37
F 0.4262 0.8524 0.0730  3 Tm 2.21-2.37
Tm 0.8398 0.6796 0.7588  3 F 2.21-2.37
Tm 0.1602 0.3204 0.2412  3 F 2.21-2.37

Results
The calculation puts the raw total energy at -5.387 eV per atom. The energy relative to the elements, uncorrected is -1.939 eV/atom. The energy above the most stable polymorph in this dataset comes out at 0.00 kcal/mol of atoms. Its space-group type is C2/m.

4.
Tm2SnF8 | GGA-PBE | relaxed

Cell lengths 4.2317, 6.1486, 6.1486 Å; angles 111.99, 96.22, 96.22 degrees
Closest atoms and distances in Å follow each position.
Fractional positions:
F 0.0753 0.3289 0.0521  2 Tm 2.25-2.26
F 0.5000 0.7490 0.2510  2 Tm 2.23
F 0.5000 0.2510 0.7490  2 Tm 2.23
F 0.0753 0.0521 0.3289  2 Tm 2.25-2.26
F 0.2842 0.6168 0.6168  2 Tm 2.25
F 0.9247 0.9479 0.6711  2 Tm 2.25-2.26
F 0.7158 0.3832 0.3832  2 Tm 2.25
F 0.9247 0.6711 0.9479  2 Tm 2.25-2.26
Tm 0.0000 0.6789 0.3211  8 F 2.23-2.26
Tm 0.0000 0.3211 0.6789  8 F 2.23-2.26
Sn 0.5000 0.0000 0.0000  8 F 2.56-2.80

Results
The calculation puts the raw total energy at -6.159 eV per atom. The energy relative to the elements, uncorrected is -3.621 eV/atom. Its space-group type is C2/m.

5.
TmSnF | GGA-PBE | relaxed

Cell lengths 5.1949, 3.7935, 3.7935 Å; angles 120.00, 90.00, 90.00 degrees
Closest atoms and distances in Å follow each position.
Fractional positions:
F 0.1669 0.3333 0.6667  3 Tm 2.19
Sn 0.6666 0.6667 0.3333  6 F 3.40, 6 Tm 3.40, 6 Sn 3.79
Tm 0.1665 0.0000 0.0000  3 F 2.19

Results
The calculation puts the raw total energy at -5.352 eV per atom. The energy relative to the elements, uncorrected is -1.903 eV/atom. The energy above the most stable polymorph in this dataset comes out at 0.81 kcal/mol of atoms. Its space-group type is P-6m2.

6.
U2SnF11 | GGA-PBE | relaxed

Cell lengths 8.5765, 8.8841, 8.8841 Å; angles 72.89, 61.14, 61.14 degrees
Closest atoms and distances in Å follow each position.
Fractional positions:
F 0.2275 0.5521 0.1763  1 U 2.14
F 0.9559 0.8237 0.4479  1 U 2.14
F 0.8665 0.7848 0.2152  1 U 2.16
F 0.1039 0.5585 0.7037  1 U 2.13
F 0.8961 0.4415 0.2963  1 U 2.13
F 0.3961 0.7963 0.9415  1 U 2.13
F 0.4559 0.9479 0.3237  1 U 2.14
F 0.7725 0.4479 0.8237  1 U 2.14
F 0.6338 0.7037 0.5585  1 U 2.13
F 0.5000 0.5000 0.5000  2 U 2.30, 2 F 2.54
F 0.3662 0.2963 0.4415  1 U 2.13
F 0.1335 0.2152 0.7848  1 U 2.16
F 0.8662 0.9415 0.7963  1 U 2.13
F 0.0000 0.0000 0.0000  2 U 2.30, 2 F 2.54
F 0.0441 0.1763 0.5521  1 U 2.14
F 0.1338 0.0585 0.2037  1 U 2.13
F 0.5441 0.0521 0.6763  1 U 2.14
F 0.6335 0.2848 0.7152  1 U 2.16
F 0.2725 0.3237 0.9479  1 U 2.14
F 0.6039 0.2037 0.0585  1 U 2.13
F 0.3665 0.7152 0.2848  1 U 2.16
F 0.7275 0.6763 0.0521  1 U 2.14
U 0.3510 0.3191 0.6809  6 F 2.13-2.30
U 0.8510 0.1809 0.8191  6 F 2.13-2.30
U 0.1490 0.8191 0.1809  6 F 2.13-2.30
U 0.6490 0.6809 0.3191  6 F 2.13-2.30
Sn 0.7500 0.7500 0.7500  8 F 2.50-2.55
Sn 0.2500 0.2500 0.2500  8 F 2.50-2.55

Results
The calculation puts the raw total energy at -6.679 eV per atom. The energy relative to the elements, uncorrected is -3.310 eV/atom. Its space-group type is Ibam.

7.
USn2F8 | GGA-PBE | relaxed

Cell lengths 3.9703, 6.5631, 7.3395 Å; angles 116.56, 105.69, 90.00 degrees
Closest atoms and distances in Å follow each position.
Fractional positions:
F 0.3714 0.1366 0.7429  1 U 2.37, 2 Sn 2.53, 2 F 2.58
F 0.0000 0.6805 0.0000  2 Sn 2.23, 3 F 2.37-2.47
F 0.3714 0.6063 0.7429  1 U 2.37, 2 Sn 2.53, 2 F 2.58
F 0.8958 0.8958 0.7916  2 U 2.38, 7 F 2.47-2.66
F 0.6286 0.3937 0.2571  1 U 2.37, 2 Sn 2.53, 2 F 2.58
F 0.1042 0.1042 0.2084  2 U 2.38, 7 F 2.47-2.66
F 0.0000 0.3195 0.0000  2 Sn 2.23, 3 F 2.37-2.47
F 0.6286 0.8634 0.2571  1 U 2.37, 2 Sn 2.53, 2 F 2.58
Sn 0.8491 0.3491 0.6982  2 F 2.23
Sn 0.1509 0.6509 0.3018  2 F 2.23
U 0.5000 0.0000 0.0000  8 F 2.37-2.38

Results
The calculation puts the raw total energy at -5.901 eV per atom. The energy relative to the elements, uncorrected is -2.786 eV/atom. The energy above the most stable polymorph in this dataset comes out at 1.66 kcal/mol of atoms. Its space-group type is Immm.

8.
USn2F8 | GGA-PBE | relaxed

Cell lengths 4.1134, 5.9264, 7.8902 Å; angles 110.27, 105.11, 90.00 degrees
Closest atoms and distances in Å follow each position.
Fractional positions:
Sn 0.8312 0.3813 0.6624  1 F 2.15
Sn 0.1688 0.6187 0.3376  1 F 2.15
F 0.3695 0.0574 0.7390  1 U 2.13
F 0.7797 0.6752 0.5595  1 Sn 2.15
F 0.5981 0.4069 0.1962  1 U 2.34, 2 Sn 2.45, 2 F 2.53
F 0.2203 0.3248 0.4405  1 Sn 2.15
F 0.0055 0.2125 0.0110  2 U 2.40, 3 F 2.46-2.53
F 0.9945 0.7875 0.9890  2 U 2.40, 3 F 2.46-2.53
F 0.6305 0.9426 0.2610  1 U 2.13
F 0.4019 0.5931 0.8038  1 U 2.34, 2 Sn 2.45, 2 F 2.53
U 0.5000 0.0000 0.0000  4 F 2.13-2.34

Results
The calculation puts the raw total energy at -5.973 eV per atom. The energy relative to the elements, uncorrected is -2.858 eV/atom. The energy above the most stable polymorph in this dataset comes out at 0.00 kcal/mol of atoms. Its space-group type is C2/m.

- Which value of energy relative to the elements, uncorrected does entry 4 give?
  -3.621 eV/atom

- Among the records above, which one has the lowest raw total energy?
  U2SnF11